No. 1
VASP calculation (PBE-GGA) on a relaxed structure of Pm3Pr3Dy8.

Summary:
DFT total energy: -4.5667 eV per atom
Energy relative to the elements: 105.2 meV per atom
Volume: 33.72 Å³/atom

Cell lengths 5.716, 10.810, 15.281 Å; angles 90.00, 90.00, 90.00 degrees
Space group Immm (No. 71)
Unique sites:
1 Pm 0.000 0.000 0.000 [2 per cell]
2 Pm 0.000 0.301 0.000 [4 per cell]
3 Pr 0.000 0.000 0.500 [2 per cell]
4 Pr 0.000 0.500 0.187 [4 per cell]
5 Dy 0.000 0.162 0.220 [8 per cell]
6 Dy 0.000 0.340 0.398 [8 per cell]

---

No. 2
VASP calculation (PBE-GGA) on a relaxed structure of PmPrDy2.

Summary:
DFT total energy: -4.6639 eV per atom
ΔE to the lowest computed polymorph: 3 kJ/mol of formula units
Energy relative to the elements: 19.6 meV per atom
Volume: 33.33 Å³/atom

Cell lengths 3.619, 3.619, 10.182 Å; angles 90.00, 90.00, 90.00 degrees
Space group P4/mmm (No. 123)
Unique sites:
1 Pm 0.000 0.000 0.000 [1 per cell]
2 Pr 0.000 0.000 0.500 [1 per cell]
3 Dy 0.500 0.500 0.248 [2 per cell]

---

No. 3
VASP calculation (PBE-GGA) on a relaxed structure of PmPr4Dy2.

Summary:
DFT total energy: -4.6620 eV per atom
ΔE to the lowest computed polymorph: 0 kJ/mol of formula units
Energy relative to the elements: 62.7 meV per atom
Volume: 34.83 Å³/atom

Cell lengths 12.159, 24.571, 6.529 Å; angles 90.00, 90.00, 90.00 degrees
Space group Fdd2 (No. 43)
Unique sites:
1 Pm 0.000 0.000 0.000 [8 per cell]
2 Pr 0.048 0.429 0.992 [16 per cell]
3 Pr 0.064 0.356 0.466 [16 per cell]
4 Dy 0.025 0.284 0.944 [16 per cell]

---

No. 4
VASP calculation (PBE-GGA) on a relaxed structure of Pm7Pr3Dy2.

Summary:
DFT total energy: -4.6574 eV per atom
ΔE to the lowest computed polymorph: 0 kJ/mol of formula units
Energy relative to the elements: 75.7 meV per atom
Volume: 34.61 Å³/atom

Cell lengths 6.493, 3.595, 17.898 Å; angles 90.00, 96.20, 90.00 degrees
Space group P2/m (No. 10)
Unique sites:
1 Pm 0.000 0.000 0.000 [1 per cell]
2 Pm 0.223 0.500 0.168 [2 per cell]
3 Pm 0.255 0.500 0.498 [2 per cell]
4 Pm 0.270 0.000 0.832 [2 per cell]
5 Pr 0.452 0.000 0.339 [2 per cell]
6 Pr 0.500 0.500 0.000 [1 per cell]
7 Dy 0.055 0.500 0.671 [2 per cell]

---

No. 5
VASP calculation (PBE-GGA) on a relaxed structure of PmPr6Dy8.

Summary:
DFT total energy: -4.5620 eV per atom
Energy relative to the elements: 120.9 meV per atom
Volume: 34.01 Å³/atom

Cell lengths 9.1678, 9.1678, 21.0266 Å; angles 90.00, 90.00, 120.00 degrees
Space group R-3 (No. 148, hexagonal axes)
Unique sites:
1 Pm 0.0000 0.0000 0.0000 [3 per cell]
2 Pr 0.0598 0.2478 0.7105 [18 per cell]
3 Dy 0.0000 0.0000 0.4234 [6 per cell]
4 Dy 0.0801 0.5577 0.8074 [18 per cell]

---

No. 6
VASP calculation (PBE-GGA) on a relaxed structure of Pm6Pr16Dy7.

Summary:
DFT total energy: -4.5326 eV per atom
Energy relative to the elements: 198.2 meV per atom
Volume: 36.43 Å³/atom

Cell lengths 16.168, 16.168, 16.168 Å; angles 90.00, 90.00, 90.00 degrees
Space group Fm-3m (No. 225)
Unique sites:
1 Pm 0.000 0.000 0.232 [24 per cell]
2 Pr 0.126 0.126 0.374 [32 per cell]
3 Pr 0.150 0.150 0.150 [32 per cell]
4 Dy 0.000 0.000 0.500 [4 per cell]
5 Dy 0.000 0.250 0.250 [24 per cell]

---

No. 7
VASP calculation (PBE-GGA) on a relaxed structure of Pm2Pr8Dy3.

Summary:
DFT total energy: -4.5387 eV per atom
ΔE to the lowest computed polymorph: 48 kJ/mol of formula units
Energy relative to the elements: 195.5 meV per atom
Volume: 35.85 Å³/atom

Cell lengths 20.783, 7.757, 5.782 Å; angles 90.00, 90.02, 90.00 degrees
Space group C2/m (No. 12)
Unique sites:
1 Pm 0.240 0.000 0.499 [4 per cell]
2 Pr 0.104 0.295 0.500 [8 per cell]
3 Pr 0.130 0.000 0.000 [4 per cell]
4 Pr 0.172 0.500 0.001 [4 per cell]
5 Dy 0.000 0.000 0.500 [2 per cell]
6 Dy 0.000 0.284 0.000 [4 per cell]

---

No. 8
VASP calculation (PBE-GGA) on a relaxed structure of Pm3Pr7Dy.

Summary:
DFT total energy: -4.5363 eV per atom
ΔE to the lowest computed polymorph: 0 kJ/mol of formula units
Energy relative to the elements: 219.2 meV per atom
Volume: 36.29 Å³/atom

Cell lengths 13.001, 11.493, 6.022 Å; angles 90.00, 117.47, 90.00 degrees
Space group C2/m (No. 12)
Unique sites:
1 Pm 0.000 0.000 0.000 [2 per cell]
2 Pm 0.000 0.207 0.500 [4 per cell]
3 Pr 0.000 0.500 0.500 [2 per cell]
4 Pr 0.196 0.207 0.196 [8 per cell]
5 Pr 0.210 0.000 0.710 [4 per cell]
6 Dy 0.000 0.500 0.000 [2 per cell]

---

Number 1: mass density 7.6 g cm⁻³, N(E_F) 1.493 states/eV per atom. Number 2: mass density 7.6 g cm⁻³, N(E_F) 1.446 states/eV per atom. Number 3: mass density 7.0 g cm⁻³, N(E_F) 1.543 states/eV per atom. Number 4: mass density 7.0 g cm⁻³, N(E_F) 1.511 states/eV per atom. Number 5: mass density 7.5 g cm⁻³, N(E_F) 1.440 states/eV per atom. Number 6: mass density 6.7 g cm⁻³, N(E_F) 1.398 states/eV per atom. Number 7: mass density 6.8 g cm⁻³, N(E_F) 1.445 states/eV per atom. Number 8: mass density 6.6 g cm⁻³, N(E_F) 1.462 states/eV per atom.